[1]
Li2CdPd | PBE | relaxed

* energy of formation from the pure elements: -0.356 eV/atom
* volume: 15.59 A^3/atom

Cell: 3.1676 3.1676 6.2146 Å, 90.00 90.00 90.00°
Last column: nearest neighbours and their distance in Å.
Positions (direct):
Li 0.0000 0.0000 0.2173  4 Pd 2.62, 1 Li 2.70, 4 Cd 2.85
Li 0.0000 0.0000 0.7827  4 Pd 2.62, 1 Li 2.70, 4 Cd 2.85
Cd 0.5000 0.5000 0.5000  8 Li 2.85, 2 Pd 3.11, 4 Cd 3.17
Pd 0.5000 0.5000 0.0000  8 Li 2.62

***

[2]
ZrSc4Tl5 | PBE | relaxed

* energy of formation from the pure elements: -0.213 eV/atom
* volume: 23.37 A^3/atom

Cell: 3.4171 3.4171 20.0104 Å, 90.00 90.00 90.00°
Last column: nearest neighbours and their distance in Å.
Positions (direct):
Zr 0.0000 0.0000 0.0000  8 Tl 3.16, 4 Zr 3.42
Sc 0.0000 0.0000 0.2002  8 Tl 3.12-3.14, 4 Sc 3.42
Sc 0.0000 0.0000 0.4001  8 Tl 3.13-3.14, 4 Sc 3.42
Sc 0.0000 0.0000 0.5999  8 Tl 3.13-3.14, 4 Sc 3.42
Sc 0.0000 0.0000 0.7998  8 Tl 3.12-3.14, 4 Sc 3.42
Tl 0.5000 0.5000 0.1015  4 Sc 3.12, 4 Zr 3.16, 4 Tl 3.42
Tl 0.5000 0.5000 0.3008  8 Sc 3.13-3.14, 4 Tl 3.42
Tl 0.5000 0.5000 0.5000  8 Sc 3.14, 4 Tl 3.42
Tl 0.5000 0.5000 0.6992  8 Sc 3.13-3.14, 4 Tl 3.42
Tl 0.5000 0.5000 0.8985  4 Sc 3.12, 4 Zr 3.16, 4 Tl 3.42

***

[3]
La5Mg3 | PBE | relaxed

* energy of formation from the pure elements: -0.035 eV/atom
* excess energy over the best structure of this formula in the dataset: 0.29 eV/f.u.
* volume: 32.73 A^3/atom

Cell: 8.5115 11.0323 5.5768 Å, 90.00 90.00 90.00°
Last column: nearest neighbours and their distance in Å.
Positions (direct):
La 0.0000 0.0000 0.0000  8 La 3.48-3.65, 4 Mg 3.81
La 0.2228 0.5000 0.5000  6 Mg 3.37-3.50, 2 La 3.65
La 0.2500 0.2500 0.0000  2 La 3.48, 6 Mg 3.48-3.51
La 0.2500 0.7500 0.0000  2 La 3.48, 6 Mg 3.48-3.51
La 0.2772 0.0000 0.5000  6 Mg 3.37-3.50, 2 La 3.65
La 0.5000 0.5000 0.0000  8 La 3.48-3.65, 4 Mg 3.81
La 0.7228 0.0000 0.5000  6 Mg 3.37-3.50, 2 La 3.65
La 0.7500 0.2500 0.0000  2 La 3.48, 6 Mg 3.48-3.51
La 0.7500 0.7500 0.0000  2 La 3.48, 6 Mg 3.48-3.51
La 0.7772 0.5000 0.5000  6 Mg 3.37-3.50, 2 La 3.65
Mg 0.0000 0.2348 0.5000  10 La 3.49-3.81
Mg 0.0000 0.5000 0.0000  8 La 3.37-3.48
Mg 0.0000 0.7652 0.5000  10 La 3.49-3.81
Mg 0.5000 0.0000 0.0000  8 La 3.37-3.48
Mg 0.5000 0.2652 0.5000  10 La 3.49-3.81
Mg 0.5000 0.7348 0.5000  10 La 3.49-3.81

***

[4]
Nb2AsP | PBE | relaxed

* energy of formation from the pure elements: 0.101 eV/atom
* volume: 23.21 A^3/atom

Cell: 5.6755 5.6755 11.5301 Å, 90.00 90.00 90.00°
Last column: nearest neighbours and their distance in Å.
Positions (direct):
Nb 0.2301 0.2500 0.1250  2 P 2.41, 2 As 2.54
Nb 0.2500 0.7301 0.3750  2 P 2.41, 2 As 2.54
Nb 0.2500 0.7699 0.8750  2 P 2.41, 2 As 2.54
Nb 0.2699 0.2500 0.6250  2 P 2.41, 2 As 2.54
Nb 0.7301 0.7500 0.6250  2 P 2.41, 2 As 2.54
Nb 0.7500 0.2301 0.8750  2 P 2.41, 2 As 2.54
Nb 0.7500 0.2699 0.3750  2 P 2.41, 2 As 2.54
Nb 0.7699 0.7500 0.1250  2 P 2.41, 2 As 2.54
As 0.0000 0.0000 0.5000  4 Nb 2.54
As 0.0000 0.5000 0.7500  4 Nb 2.54
As 0.5000 0.0000 0.2500  4 Nb 2.54
As 0.5000 0.5000 0.0000  4 Nb 2.54
P 0.0000 0.0000 0.0000  4 Nb 2.41
P 0.0000 0.5000 0.2500  4 Nb 2.41
P 0.5000 0.0000 0.7500  4 Nb 2.41
P 0.5000 0.5000 0.5000  4 Nb 2.41

***

[5]
Na3NbAs | PBE | relaxed

* energy of formation from the pure elements: 1.404 eV/atom
* excess energy over the best structure of this formula in the dataset: 2.69 eV/f.u.
* volume: 37.11 A^3/atom

Cell: 5.7038 5.7038 5.7038 Å, 90.00 90.00 90.00°
Last column: nearest neighbours and their distance in Å.
Positions (direct):
Na 0.0000 0.0000 0.5000  2 Nb 2.85
Na 0.0000 0.5000 0.0000  2 Nb 2.85
Na 0.5000 0.0000 0.0000  2 Nb 2.85
Nb 0.0000 0.0000 0.0000  6 Na 2.85
As 0.5000 0.5000 0.5000  12 Na 4.03

***

[6]
La2ErTlN | PBE | relaxed

* energy relative to the elements, uncorrected: -0.846 eV/atom
* volume: 25.46 A^3/atom

Cell: 5.1469 5.1469 4.8063 Å, 90.00 90.00 90.00°
Last column: nearest neighbours and their distance in Å.
Positions (direct):
La 0.0000 0.5000 0.0000  2 N 2.57
La 0.5000 0.0000 0.0000  2 N 2.57
Er 0.0000 0.0000 0.5000  2 N 2.40
Tl 0.5000 0.5000 0.5000  8 La 3.52, 4 Er 3.64
N 0.0000 0.0000 0.0000  2 Er 2.40, 4 La 2.57

***

[7]
AlInH6Os2 | PBE | relaxed

* volume: 9.24 A^3/atom
* raw total energy: -4.67 eV/atom

Cell: 6.1696 6.1696 5.0995 Å, 96.76 96.76 104.14°
Last column: nearest neighbours and their distance in Å.
Positions (direct):
Al 0.1074 0.8926 0.7500  2 H 1.85
Al 0.8926 0.1074 0.2500  2 H 1.85
In 0.4154 0.5846 0.2500  6 H 2.52-2.73, 2 Os 2.68
In 0.5846 0.4154 0.7500  6 H 2.52-2.73, 2 Os 2.68
H 0.1273 0.5368 0.7186  1 Os 1.66, 1 H 1.85
H 0.1439 0.8022 0.4016  1 H 1.67, 1 Os 1.84, 1 Al 1.85
H 0.1757 0.2833 0.5285  2 Os 1.75-1.87, 1 H 1.85
H 0.1978 0.8561 0.0984  1 H 1.67, 1 Os 1.84, 1 Al 1.85
H 0.2833 0.1757 0.0285  2 Os 1.75-1.87, 1 H 1.85
H 0.4632 0.8727 0.7814  1 Os 1.66, 1 H 1.85
H 0.5368 0.1273 0.2186  1 Os 1.66, 1 H 1.85
H 0.7167 0.8243 0.9715  2 Os 1.75-1.87, 1 H 1.85
H 0.8022 0.1439 0.9016  1 H 1.67, 1 Os 1.84, 1 Al 1.85
H 0.8243 0.7167 0.4715  2 Os 1.75-1.87, 1 H 1.85
H 0.8561 0.1978 0.5984  1 H 1.67, 1 Os 1.84, 1 Al 1.85
H 0.8727 0.4632 0.2814  1 Os 1.66, 1 H 1.85
Os 0.0959 0.3105 0.8718  3 H 1.66-1.84
Os 0.3105 0.0959 0.3718  3 H 1.66-1.84
Os 0.6895 0.9041 0.6282  3 H 1.66-1.84
Os 0.9041 0.6895 0.1282  3 H 1.66-1.84

***

[8]
Pm4MgSb2 | PBE | relaxed

* energy relative to the elements, uncorrected: -0.517 eV/atom
* volume: 30.40 A^3/atom

Cell: 6.2591 6.7948 10.3040 Å, 90.00 103.80 90.00°
Last column: nearest neighbours and their distance in Å.
Positions (direct):
Pm 0.0174 0.0162 0.2556  4 Sb 3.16-3.37, 2 Pm 3.18-3.50, 1 Mg 3.34
Pm 0.0174 0.4838 0.2556  4 Sb 3.16-3.37, 2 Pm 3.18-3.50, 1 Mg 3.34
Pm 0.3464 0.7500 0.5195  1 Mg 3.02, 2 Sb 3.08-3.33
Pm 0.4287 0.7500 0.1438  3 Mg 3.39-3.46, 3 Sb 3.44-3.46, 2 Pm 3.56
Pm 0.5713 0.2500 0.8562  3 Mg 3.39-3.46, 3 Sb 3.44-3.46, 2 Pm 3.56
Pm 0.6536 0.2500 0.4805  1 Mg 3.02, 2 Sb 3.08-3.33
Pm 0.9826 0.5162 0.7444  4 Sb 3.16-3.37, 2 Pm 3.18-3.50, 1 Mg 3.34
Pm 0.9826 0.9838 0.7444  4 Sb 3.16-3.37, 2 Pm 3.18-3.50, 1 Mg 3.34
Mg 0.4658 0.7500 0.8211  1 Sb 2.75, 1 Pm 3.02
Mg 0.5342 0.2500 0.1789  1 Sb 2.75, 1 Pm 3.02
Sb 0.1277 0.2500 0.0018  1 Mg 2.75
Sb 0.2010 0.2500 0.5500  7 Pm 3.08-3.44
Sb 0.7990 0.7500 0.4500  7 Pm 3.08-3.44
Sb 0.8723 0.7500 0.9982  1 Mg 2.75